(1)
{
  "formula": "LaCu2Sb",
  "functional": "GGA-PBEsol",
  "state": "optimized geometry",
  "dos_at_fermi_per_ev_atom": 0.34,
  "magnetic_moment_mub_per_fu": 0.00,
  "raw_formation_energy_ev_per_atom": -0.3953,
  "crystal_system": "trigonal",
  "spacegroup": "R3m (160)",
  "lattice": [[2.1288, 1.2290, 5.3483], [-2.1288, 1.2290, 5.3483], [0.0000, -2.4581, 5.3483]],
  "species": ["La", "Cu", "Cu", "Sb"],
  "fractional_positions": [[0.0000, 0.0000, 0.0000], [0.2127, 0.2127, 0.2127], [0.5208, 0.5208, 0.5208], [0.7963, 0.7963, 0.7963]]
}

(2)
{
  "formula": "La3Cu3Sb4",
  "functional": "GGA-PBEsol",
  "state": "optimized geometry",
  "dos_at_fermi_per_ev_atom": 0.06,
  "magnetic_moment_mub_per_fu": 0.00,
  "raw_formation_energy_ev_per_atom": -0.8650,
  "crystal_system": "cubic",
  "spacegroup": "I-43d (220)",
  "lattice": [[-4.8688, 4.8688, 4.8688], [4.8688, -4.8688, 4.8688], [4.8688, 4.8688, -4.8688]],
  "species": ["La", "La", "La", "La", "La", "La", "Cu", "Cu", "Cu", "Cu", "Cu", "Cu", "Sb", "Sb", "Sb", "Sb", "Sb", "Sb", "Sb", "Sb"],
  "fractional_positions": [[0.1250, 0.7500, 0.8750], [0.2500, 0.6250, 0.3750], [0.3750, 0.2500, 0.6250], [0.6250, 0.3750, 0.2500], [0.7500, 0.8750, 0.1250], [0.8750, 0.1250, 0.7500], [0.1250, 0.8750, 0.2500], [0.2500, 0.1250, 0.8750], [0.3750, 0.6250, 0.7500], [0.6250, 0.7500, 0.3750], [0.7500, 0.3750, 0.6250], [0.8750, 0.2500, 0.1250], [0.0000, 0.3394, 0.5000], [0.0000, 0.8394, 0.5000], [0.1606, 0.1606, 0.1606], [0.3394, 0.5000, 0.0000], [0.5000, 0.0000, 0.3394], [0.5000, 0.0000, 0.8394], [0.6606, 0.6606, 0.6606], [0.8394, 0.5000, 0.0000]]
}

(3)
{
  "formula": "La6CuSb15",
  "functional": "GGA-PBEsol",
  "state": "optimized geometry",
  "dos_at_fermi_per_ev_atom": 0.29,
  "magnetic_moment_mub_per_fu": 0.00,
  "raw_formation_energy_ev_per_atom": -0.7502,
  "crystal_system": "monoclinic",
  "spacegroup": "Cm (8)",
  "lattice": [[7.9247, -9.6840, 0.0000], [7.9247, 9.6840, 0.0000], [-1.1554, 0.0000, 4.1244]],
  "species": ["La", "La", "La", "La", "La", "La", "Cu", "Sb", "Sb", "Sb", "Sb", "Sb", "Sb", "Sb", "Sb", "Sb", "Sb", "Sb", "Sb", "Sb", "Sb", "Sb"],
  "fractional_positions": [[0.1325, 0.8675, 0.0000], [0.1395, 0.4095, 0.2741], [0.4095, 0.1395, 0.2741], [0.4623, 0.8090, 0.1353], [0.8090, 0.4623, 0.1353], [0.8675, 0.1325, 0.0000], [0.8747, 0.8747, 0.8767], [0.0569, 0.6507, 0.3536], [0.1430, 0.1430, 0.1427], [0.2220, 0.6243, 0.9227], [0.2821, 0.2821, 0.7815], [0.3381, 0.9355, 0.6366], [0.3852, 0.5909, 0.4880], [0.5434, 0.5434, 0.0429], [0.5909, 0.3852, 0.4880], [0.6243, 0.2220, 0.9227], [0.6507, 0.0569, 0.3536], [0.6691, 0.8919, 0.7798], [0.7393, 0.7393, 0.2393], [0.8919, 0.6691, 0.7798], [0.9355, 0.3381, 0.6366], [0.9791, 0.9791, 0.4798]]
}

(4)
{
  "formula": "LaCuSb2W",
  "functional": "GGA-PBEsol",
  "state": "optimized geometry",
  "dos_at_fermi_per_ev_atom": 0.99,
  "magnetic_moment_mub_per_fu": 3.44,
  "raw_formation_energy_ev_per_atom": 1.9821,
  "crystal_system": "tetragonal",
  "spacegroup": "P4/mmm (123)",
  "lattice": [[5.7486, 0.0000, 0.0000], [0.0000, 5.7486, 0.0000], [0.0000, 0.0000, 4.8705]],
  "species": ["La", "Cu", "Sb", "Sb", "W"],
  "fractional_positions": [[0.0000, 0.0000, 0.0000], [0.0000, 0.0000, 0.5000], [0.0000, 0.5000, 0.0000], [0.5000, 0.0000, 0.0000], [0.5000, 0.5000, 0.5000]]
}

(5)
{
  "formula": "La2ScCu",
  "functional": "GGA-PBEsol",
  "state": "optimized geometry",
  "dos_at_fermi_per_ev_atom": 1.46,
  "magnetic_moment_mub_per_fu": 0.00,
  "crystal_system": "orthorhombic",
  "spacegroup": "Pmmm (47)",
  "polymorph_energy_ev_per_fu": 0.926,
  "formation_enthalpy_0k_ev_per_atom": 0.19,
  "lattice": [[3.4785, 0.0000, 0.0000], [0.0000, 5.2501, 0.0000], [0.0000, 0.0000, 5.3037]],
  "species": ["La", "La", "Sc", "Cu"],
  "fractional_positions": [[0.0000, 0.0000, 0.0000], [0.5000, 0.0000, 0.5000], [0.0000, 0.5000, 0.5000], [0.5000, 0.5000, 0.0000]]
}

(6)
{
  "formula": "LaScCu",
  "functional": "GGA-PBEsol",
  "state": "optimized geometry",
  "dos_at_fermi_per_ev_atom": 1.02,
  "magnetic_moment_mub_per_fu": 0.00,
  "crystal_system": "cubic",
  "spacegroup": "F-43m (216)",
  "formation_enthalpy_0k_ev_per_atom": 0.52,
  "lattice": [[0.0000, 3.2669, 3.2669], [3.2669, 0.0000, 3.2669], [3.2669, 3.2669, 0.0000]],
  "species": ["La", "Sc", "Cu"],
  "fractional_positions": [[0.0000, 0.0000, 0.0000], [0.7500, 0.7500, 0.7500], [0.5000, 0.5000, 0.5000]]
}

(7)
{
  "formula": "La2ScCu",
  "functional": "GGA-PBEsol",
  "state": "optimized geometry",
  "dos_at_fermi_per_ev_atom": 1.27,
  "magnetic_moment_mub_per_fu": 0.00,
  "crystal_system": "tetragonal",
  "spacegroup": "P4mm (99)",
  "polymorph_energy_ev_per_fu": 0.000,
  "formation_enthalpy_0k_ev_per_atom": -0.04,
  "lattice": [[3.4567, 0.0000, 0.0000], [0.0000, 3.4567, 0.0000], [0.0000, 0.0000, 8.3975]],
  "species": ["La", "La", "Sc", "Cu"],
  "fractional_positions": [[0.0000, 0.0000, 0.0000], [0.5000, 0.5000, 0.3213], [0.0000, 0.0000, 0.6122], [0.5000, 0.5000, 0.7634]]
}

(8)
{
  "formula": "La2ScCu",
  "functional": "GGA-PBEsol",
  "state": "optimized geometry",
  "dos_at_fermi_per_ev_atom": 1.19,
  "magnetic_moment_mub_per_fu": 0.00,
  "crystal_system": "orthorhombic",
  "spacegroup": "Imm2 (44)",
  "polymorph_energy_ev_per_fu": 0.071,
  "formation_enthalpy_0k_ev_per_atom": -0.02,
  "lattice": [[-1.7741, 2.6433, 5.4382], [1.7741, -2.6433, 5.4382], [1.7741, 2.6433, -5.4382]],
  "species": ["La", "La", "Sc", "Cu"],
  "fractional_positions": [[0.0000, 0.0000, 0.0000], [0.7096, 0.2096, 0.5000], [0.2916, 0.7916, 0.5000], [0.4737, 0.4737, 0.0000]]
}

(9)
{
  "formula": "LaSc3Cu",
  "functional": "GGA-PBEsol",
  "state": "optimized geometry",
  "dos_at_fermi_per_ev_atom": 1.01,
  "magnetic_moment_mub_per_fu": 0.00,
  "crystal_system": "cubic",
  "spacegroup": "Pm-3m (221)",
  "formation_enthalpy_0k_ev_per_atom": 0.08,
  "lattice": [[5.0120, 0.0000, 0.0000], [0.0000, 5.0120, 0.0000], [0.0000, 0.0000, 5.0120]],
  "species": ["La", "Sc", "Sc", "Sc", "Cu"],
  "fractional_positions": [[0.0000, 0.0000, 0.0000], [0.0000, 0.5000, 0.5000], [0.5000, 0.0000, 0.5000], [0.5000, 0.5000, 0.0000], [0.5000, 0.5000, 0.5000]]
}

(10)
{
  "formula": "La2ScCu",
  "functional": "GGA-PBEsol",
  "state": "optimized geometry",
  "dos_at_fermi_per_ev_atom": 0.99,
  "magnetic_moment_mub_per_fu": 0.00,
  "crystal_system": "cubic",
  "spacegroup": "Fm-3m (225)",
  "polymorph_energy_ev_per_fu": 0.820,
  "formation_enthalpy_0k_ev_per_atom": 0.16,
  "lattice": [[0.0000, 3.7082, 3.7082], [3.7082, 0.0000, 3.7082], [3.7082, 3.7082, 0.0000]],
  "species": ["La", "La", "Sc", "Cu"],
  "fractional_positions": [[0.2500, 0.2500, 0.2500], [0.7500, 0.7500, 0.7500], [0.0000, 0.0000, 0.0000], [0.5000, 0.5000, 0.5000]]
}

(11)
{
  "formula": "LaCuSe",
  "functional": "GGA-PBEsol",
  "state": "optimized geometry",
  "magnetic_moment_mub_per_fu": 0.00,
  "raw_formation_energy_ev_per_atom": -0.6797,
  "crystal_system": "cubic",
  "spacegroup": "F-43m (216)",
  "lattice": [[0.0000, 3.4322, 3.4322], [3.4322, 0.0000, 3.4322], [3.4322, 3.4322, 0.0000]],
  "species": ["La", "Cu", "Se"],
  "fractional_positions": [[0.0000, 0.0000, 0.0000], [0.2500, 0.2500, 0.2500], [0.7500, 0.7500, 0.7500]]
}

(12)
{
  "formula": "LaCu2Se",
  "functional": "GGA-PBEsol",
  "state": "optimized geometry",
  "dos_at_fermi_per_ev_atom": 0.44,
  "magnetic_moment_mub_per_fu": 0.00,
  "raw_formation_energy_ev_per_atom": -0.5570,
  "crystal_system": "orthorhombic",
  "spacegroup": "Pmmm (47)",
  "lattice": [[3.9186, 0.0000, 0.0000], [0.0000, 4.3717, 0.0000], [0.0000, 0.0000, 4.7503]],
  "species": ["La", "Cu", "Cu", "Se"],
  "fractional_positions": [[0.0000, 0.0000, 0.0000], [0.5000, 0.5000, 0.2444], [0.5000, 0.5000, 0.7556], [0.5000, 0.0000, 0.5000]]
}

Here are the calculated density numbers, same order: 7.7; 7.9; 7.1; 6.5; 6.6; 5.9; 6.4; 6.3; 4.4; 6.3; 5.8; 7.0 (g/cm³).